1.
This record from Alexandria describes crystalline Ba3Pr5H12 at its relaxed geometry. The functional is PBE.

a = 12.6273 Å, b = 12.6273 Å, c = 12.6273 Å
α = 109.47°, β = 109.47°, γ = 109.47°
With the nearest neighbours (Å) after each atom.
Fractional positions:
Pr 0.5000 0.5000 0.5000  6 H 2.38
H 0.9560 0.5918 0.1669  2 Pr 2.32-2.38
Ba 0.6250 0.2500 0.3750  8 H 2.65-2.81
Ba 0.7500 0.8750 0.6250  8 H 2.65-2.81
H 0.8642 0.5751 0.9082  2 Pr 2.32-2.38
H 0.9249 0.8331 0.7891  2 Pr 2.32-2.38
H 0.1669 0.0918 0.9560  2 Pr 2.32-2.38
Ba 0.7500 0.3750 0.1250  8 H 2.65-2.81
H 0.3642 0.9560 0.7891  2 Pr 2.32-2.38
Pr 0.0000 0.5000 0.0000  6 H 2.38
H 0.5751 0.8642 0.4082  2 Pr 2.32-2.38
H 0.0440 0.4082 0.8331  2 Pr 2.32-2.38
H 0.7891 0.3331 0.9249  2 Pr 2.32-2.38
Ba 0.6250 0.3750 0.7500  8 H 2.65-2.81
Ba 0.8750 0.7500 0.1250  8 H 2.65-2.81
H 0.8331 0.9082 0.0440  2 Pr 2.32-2.38
Pr 0.5000 0.0000 0.5000  6 H 2.38
Pr 0.1250 0.3750 0.2500  4 H 2.32
H 0.7109 0.1358 0.0440  2 Pr 2.32-2.38
Pr 0.3750 0.2500 0.1250  4 H 2.32
H 0.2109 0.6669 0.0751  2 Pr 2.32-2.38
Pr 0.3750 0.1250 0.7500  4 H 2.32
Pr 0.2500 0.8750 0.1250  4 H 2.32
H 0.6669 0.2109 0.5751  2 Pr 2.32-2.38
H 0.6669 0.4560 0.5918  2 Pr 2.32-2.38
H 0.2891 0.8642 0.9560  2 Pr 2.32-2.38
H 0.8331 0.9249 0.2891  2 Pr 2.32-2.38
H 0.5440 0.3331 0.9082  2 Pr 2.32-2.38
H 0.9082 0.0751 0.8642  2 Pr 2.32-2.38
H 0.4082 0.0440 0.3331  2 Pr 2.32-2.38
Ba 0.1250 0.2500 0.8750  8 H 2.65-2.81
Pr 0.5000 0.0000 0.0000  6 H 2.38
Ba 0.3750 0.6250 0.2500  8 H 2.65-2.81
Pr 0.1250 0.7500 0.3750  4 H 2.32
H 0.5918 0.9560 0.6669  2 Pr 2.32-2.38
H 0.5440 0.2109 0.1358  2 Pr 2.32-2.38
Pr 0.8750 0.2500 0.6250  4 H 2.32
H 0.0751 0.1669 0.2109  2 Pr 2.32-2.38
Pr 0.0000 0.0000 0.5000  6 H 2.38
H 0.9082 0.8331 0.5440  2 Pr 2.32-2.38
H 0.0918 0.9249 0.1358  2 Pr 2.32-2.38
H 0.2891 0.4249 0.8331  2 Pr 2.32-2.38
H 0.3642 0.4082 0.0751  2 Pr 2.32-2.38
H 0.1358 0.7109 0.5440  2 Pr 2.32-2.38
H 0.1358 0.4249 0.0918  2 Pr 2.32-2.38
H 0.6358 0.0440 0.2109  2 Pr 2.32-2.38
H 0.7891 0.4560 0.3642  2 Pr 2.32-2.38
H 0.0751 0.9082 0.3642  2 Pr 2.32-2.38
H 0.8642 0.2891 0.4560  2 Pr 2.32-2.38
Pr 0.2500 0.3750 0.6250  4 H 2.32
H 0.4082 0.3642 0.5751  2 Pr 2.32-2.38
H 0.1669 0.0751 0.7109  2 Pr 2.32-2.38
Ba 0.2500 0.1250 0.3750  8 H 2.65-2.81
Pr 0.6250 0.8750 0.2500  4 H 2.32
Pr 0.7500 0.1250 0.8750  4 H 2.32
Pr 0.0000 0.0000 0.0000  6 H 2.38
Ba 0.2500 0.6250 0.8750  8 H 2.65-2.81
H 0.4560 0.6669 0.0918  2 Pr 2.32-2.38
H 0.7109 0.5751 0.1669  2 Pr 2.32-2.38
H 0.3331 0.7891 0.4249  2 Pr 2.32-2.38
H 0.4560 0.7891 0.8642  2 Pr 2.32-2.38
H 0.5918 0.6358 0.4249  2 Pr 2.32-2.38
Pr 0.6250 0.7500 0.8750  4 H 2.32
Ba 0.3750 0.7500 0.6250  8 H 2.65-2.81
H 0.5751 0.7109 0.6669  2 Pr 2.32-2.38
H 0.4249 0.1358 0.5918  2 Pr 2.32-2.38
H 0.9249 0.0918 0.6358  2 Pr 2.32-2.38
Ba 0.8750 0.1250 0.2500  8 H 2.65-2.81
Pr 0.0000 0.5000 0.5000  6 H 2.38
H 0.0918 0.1669 0.4560  2 Pr 2.32-2.38
H 0.0440 0.6358 0.7109  2 Pr 2.32-2.38
Pr 0.5000 0.5000 0.0000  6 H 2.38
H 0.6358 0.5918 0.9249  2 Pr 2.32-2.38
Ba 0.1250 0.8750 0.7500  8 H 2.65-2.81
Pr 0.8750 0.6250 0.7500  4 H 2.32
H 0.9560 0.3642 0.2891  2 Pr 2.32-2.38
Pr 0.7500 0.6250 0.3750  4 H 2.32
H 0.3331 0.5440 0.4082  2 Pr 2.32-2.38
H 0.2109 0.5440 0.6358  2 Pr 2.32-2.38
H 0.4249 0.2891 0.3331  2 Pr 2.32-2.38

Values from the calculation:
Its theoretical density is 4.837 g/cm3. For the raw total energy, the calculation gives -3.831 eV per atom.

2.
This record from Alexandria describes crystalline Ba2PrH12Rh3 at its relaxed geometry. The functional is PBE.

a = 6.4014 Å, b = 6.4014 Å, c = 6.4014 Å
α = 65.70°, β = 65.70°, γ = 65.70°
With the nearest neighbours (Å) after each atom.
Fractional positions:
H 0.0871 0.7213 0.7213  2 Rh 1.80
Rh 0.0000 0.5000 0.0000  6 H 1.68-1.80
H 0.5832 0.1259 0.1259  1 Rh 1.68
Ba 0.3869 0.3869 0.3869  3 H 2.45
Ba 0.6131 0.6131 0.6131  3 H 2.45
H 0.2787 0.2787 0.9129  2 Rh 1.80
H 0.1259 0.1259 0.5832  1 Rh 1.68
Rh 0.0000 0.0000 0.5000  6 H 1.68-1.80
H 0.7213 0.7213 0.0871  2 Rh 1.80
Rh 0.5000 0.0000 0.0000  6 H 1.68-1.80
Pr 0.0000 0.0000 0.0000  6 H 2.33
H 0.9129 0.2787 0.2787  2 Rh 1.80
H 0.4168 0.8741 0.8741  1 Rh 1.68
H 0.2787 0.9129 0.2787  2 Rh 1.80
H 0.8741 0.8741 0.4168  1 Rh 1.68
H 0.7213 0.0871 0.7213  2 Rh 1.80
H 0.8741 0.4168 0.8741  1 Rh 1.68
H 0.1259 0.5832 0.1259  1 Rh 1.68

Values from the calculation:
Its theoretical density is 5.867 g/cm3. For the raw total energy, the calculation gives -4.365 eV per atom.

3.
This record from Alexandria describes crystalline Ba2PrH6Ru at its relaxed geometry. The functional is PBE.

a = 6.2198 Å, b = 5.7456 Å, c = 5.7456 Å
α = 120.00°, β = 90.00°, γ = 90.00°
With the nearest neighbours (Å) after each atom.
Fractional positions:
H 0.1677 0.8589 0.1411  1 Ru 1.75
H 0.8323 0.1411 0.8589  1 Ru 1.75
H 0.8323 0.1411 0.2822  1 Ru 1.75
H 0.1677 0.8589 0.7178  1 Ru 1.75
H 0.8323 0.7178 0.8589  1 Ru 1.75
Ru 0.0000 0.0000 0.0000  6 H 1.75
Ba 0.8329 0.6667 0.3333  9 H 2.83-2.88
H 0.1677 0.2822 0.1411  1 Ru 1.75
Ba 0.1671 0.3333 0.6667  9 H 2.83-2.88
Pr 0.5000 0.0000 0.0000  6 H 2.50

Values from the calculation:
Its theoretical density is 4.881 g/cm3. For the raw total energy, the calculation gives -4.197 eV per atom.

4.
This record from Alexandria describes crystalline BaH3Pt3 at its relaxed geometry. The functional is PBE.

a = 4.6211 Å, b = 7.1615 Å, c = 7.1615 Å
α = 120.00°, β = 90.00°, γ = 90.00°
With the nearest neighbours (Å) after each atom.
Fractional positions:
Pt 0.7500 0.8682 0.7450  1 H 1.63
Ba 0.2500 0.6667 0.3333  9 H 2.77
H 0.7500 0.6319 0.5277  1 Pt 1.63
Pt 0.7500 0.8768 0.1318  1 H 1.63
Pt 0.2500 0.7450 0.8768  1 H 1.63
Pt 0.7500 0.2550 0.1232  1 H 1.63
H 0.7500 0.4723 0.1042  1 Pt 1.63
H 0.7500 0.8958 0.3681  1 Pt 1.63
Pt 0.2500 0.1318 0.2550  1 H 1.63
Ba 0.7500 0.3333 0.6667  9 H 2.77
Pt 0.2500 0.1232 0.8682  1 H 1.63
H 0.2500 0.5277 0.8958  1 Pt 1.63
H 0.2500 0.3681 0.4723  1 Pt 1.63
H 0.2500 0.1042 0.6319  1 Pt 1.63

Values from the calculation:
Its theoretical density is 11.741 g/cm3. For the raw total energy, the calculation gives -4.661 eV per atom.

no.,M_tot (μB/atom),calculated volume (Å³ per cell)
1,0.15,1550
2,0.00,208
3,0.05,178
4,0.00,205